Below is an optimized crystal structure of CdBiW2, with properties calculated at the PBE level.

abc: 4.813 4.813 4.813
angles: 60.00 60.00 60.00
Element x y z (fractional)
1 Cd 0.000 0.000 0.000
2 Bi 0.750 0.750 0.750
3 W 0.250 0.250 0.250
4 W 0.500 0.500 0.500

**Spin magnetization**: 0.018 μB per formula unit
**Total energy**: -26.63 eV/f.u.


Below is an optimized crystal structure of BaCo2Ge2, with properties calculated at the PBE level.

abc: 6.686 6.686 6.686
angles: 144.74 144.74 50.73
Element x y z (fractional)
1 Ba 0.000 0.000 0.000
2 Co 0.250 0.750 0.500
3 Co 0.750 0.250 0.500
4 Ge 0.346 0.346 0.000
5 Ge 0.654 0.654 0.000

**Spin magnetization**: 0.031 μB per formula unit
**Total energy**: -27.27 eV/f.u.


Below is an optimized crystal structure of NpAgSn, with properties calculated at the PBE level.

abc: 4.826 4.826 4.826
angles: 60.00 60.00 60.00
Element x y z (fractional)
1 Np 0.000 0.000 0.000
2 Ag 0.250 0.250 0.250
3 Sn 0.500 0.500 0.500

**Spin magnetization**: 4.011 μB per formula unit
**Total energy**: -19.10 eV/f.u.


Look up the spin magnetization of the second one. 0.031 μB per formula unit


Among the records above, which one has the lowest spin magnetization? CdBiW2


What did the second record say?
Below is an optimized crystal structure of BaCo2Ge2, with properties calculated at the PBE level.

abc: 6.686 6.686 6.686
angles: 144.74 144.74 50.73
Element x y z (fractional)
1 Ba 0.000 0.000 0.000
2 Co 0.250 0.750 0.500
3 Co 0.750 0.250 0.500
4 Ge 0.346 0.346 0.000
5 Ge 0.654 0.654 0.000

**Spin magnetization**: 0.031 μB per formula unit
**Total energy**: -27.27 eV/f.u.